AgIr2W: relaxed, GGA-PBE.

Results
Space group: I4/mmm, No. 139
ΔH_f (0 K): 126 meV/atom
DFT total energy: -8.256 eV/atom
Volume: 15.38 A^3/atom
Distance to the lowest polymorph of the same formula: 0.123 eV per atom
M_tot: 0.00 μB per formula unit
Crystal system: tetragonal

abc: 4.7417 4.7417 4.7417
angles: 129.72 129.72 73.86
Fractional positions:
Ag: 0.0000 0.0000 0.0000
Ir: 0.2500 0.7500 0.5000
Ir: 0.7500 0.2500 0.5000
W: 0.5000 0.5000 0.0000